(w)
First-principles (PBE) data for crystalline V2MoRu4 at its relaxed geometry, as listed in the Alexandria database.

Summary:
V   128.40 Å³/cell
Magnetic moment   0.003 μB per atom
Crystal system   tetragonal
SG   No. 139

Cell: 4.622 4.622 6.841 Å, 70.25 70.25 90.00°
Each line ends with the local moment (μB).
Fractional coordinates of all 7 atoms:
Ru (0.211, 0.211, 0.578)  -0.06
Ru (0.789, 0.789, 0.422)  -0.06
Ru (0.000, 0.500, 0.000)  -0.01
Ru (0.500, 0.000, 0.000)  -0.01
Mo (0.000, 0.000, 0.000)  0.00
V (0.382, 0.382, 0.237)  0.05
V (0.618, 0.618, 0.763)  0.05

=====

(x)
First-principles (PBE) data for crystalline V2MoRu4 at its relaxed geometry, as listed in the Alexandria database.

Summary:
V   200.86 Å³/cell
Magnetic moment   0.000 μB per atom
Crystal system   triclinic
SG   No. 1

Cell: 4.930 7.824 6.821 Å, 109.51 98.93 118.77°
Fractional coordinates of all 14 atoms:
V (0.216, 0.621, 0.131)
V (0.610, 0.154, 0.967)
V (0.851, 0.732, 0.387)
V (0.441, 0.445, 0.534)
Mo (0.867, 0.306, 0.675)
Mo (0.878, 0.893, 0.848)
Ru (0.221, 0.732, 0.818)
Ru (0.686, 0.574, 0.965)
Ru (0.913, 0.433, 0.363)
Ru (0.488, 0.874, 0.543)
Ru (0.339, 0.052, 0.277)
Ru (0.770, 0.977, 0.224)
Ru (0.210, 0.137, 0.662)
Ru (0.260, 0.319, 0.109)

=====

Relative energy of each structure, in meV per atom: (w) 1266; (x) 0.

=====

(w)
First-principles (PBE) data for crystalline MoRuW at its relaxed geometry, as listed in the Alexandria database.

Summary:
V   46.16 Å³/cell
Magnetic moment   0.000 μB per atom
Crystal system   tetragonal
SG   No. 107

Cell: 6.386 6.386 2.755 Å, 77.55 77.53 24.91°
Fractional coordinates of all 3 atoms:
Mo (0.991, 0.991, 0.009)
Ru (0.334, 0.334, 0.666)
W (0.675, 0.675, 0.325)

=====

(x)
First-principles (PBE) data for crystalline MoRuW at its relaxed geometry, as listed in the Alexandria database.

Summary:
V   53.99 Å³/cell
Magnetic moment   0.000 μB per atom
Crystal system   cubic
SG   No. 216

Cell: 4.242 4.242 4.242 Å, 60.00 60.00 60.00°
Fractional coordinates of all 3 atoms:
Mo (0.500, 0.500, 0.500)
Ru (0.750, 0.750, 0.750)
W (0.000, 0.000, 0.000)

=====

(y)
First-principles (PBE) data for crystalline MoRuW at its relaxed geometry, as listed in the Alexandria database.

Summary:
V   46.40 Å³/cell
Magnetic moment   0.000 μB per atom
Crystal system   trigonal
SG   No. 156

Cell: 4.417 4.417 2.746 Å, 90.00 90.00 120.00°
Fractional coordinates of all 3 atoms:
Mo (0.000, 0.000, 0.961)
Ru (0.667, 0.333, 0.358)
W (0.333, 0.667, 0.681)

=====

(z)
First-principles (PBE) data for crystalline MoRuW at its relaxed geometry, as listed in the Alexandria database.

Summary:
V   46.27 Å³/cell
Magnetic moment   0.000 μB per atom
Crystal system   orthorhombic
SG   No. 44

Cell: 4.888 4.888 4.888 Å, 146.88 133.02 58.68°
Fractional coordinates of all 3 atoms:
Mo (0.996, 0.996, 0.000)
Ru (0.333, 0.333, 0.000)
W (0.671, 0.671, 0.000)

=====

Relative energy of each structure, in meV per atom: (w) 0; (x) 669; (y) 109; (z) 98.